Entry 1:
The following is a DFT calculation (PBE-GGA) of a relaxed structure of CsNp4Co3S12.

Spin magnetization: 13.8 μB per formula unit
E_form (uncorrected): -17.1 kcal/mol of atoms
Energy: -6.914 eV/atom

Cell lengths 8.362, 8.362, 8.362 Å; angles 109.47, 109.47, 109.47 degrees
Each line ends with the local moment (μB).
Sites, in units of the cell vectors:
S1 0.169 0.333 0.836  -0.11
S2 0.164 0.831 0.667  -0.11
S3 0.831 0.667 0.164  -0.11
S4 0.333 0.836 0.169  -0.11
S5 0.333 0.164 0.497  -0.11
S6 0.497 0.333 0.164  -0.11
S7 0.836 0.169 0.333  -0.11
S8 0.667 0.164 0.831  -0.11
S9 0.836 0.503 0.667  -0.11
S10 0.503 0.667 0.836  -0.11
S11 0.667 0.836 0.503  -0.11
S12 0.164 0.497 0.333  -0.11
Np1 0.500 0.000 0.000  3.11
Np2 0.500 0.500 0.500  3.11
Np3 0.000 0.000 0.500  3.11
Np4 0.000 0.500 0.000  3.11
Co1 0.500 0.000 0.500  0.87
Co2 0.500 0.500 0.000  0.87
Co3 0.000 0.500 0.500  0.87
Cs1 0.000 0.000 0.000  0.01

Entry 2:
The following is a DFT calculation (PBE-GGA) of a relaxed structure of HfZr2Ir.

Spin magnetization: 0.0 μB per formula unit
Distance to the lowest polymorph of the same formula: 0.0677 eV per atom
Energy: -9.397 eV/atom
Energy relative to the elements: -0.419 eV per atom

Cell lengths 3.346, 3.346, 7.253 Å; angles 90.00, 90.00, 90.00 degrees
Sites, in units of the cell vectors:
Ir1 0.500 0.500 0.000
Hf1 0.500 0.500 0.500
Zr1 0.000 0.000 0.221
Zr2 0.000 0.000 0.779